# 1
9
Lattice="3.915 0.000 0.000 0.000 6.911 3.987 0.000 -6.911 3.987" Properties=species:S:1:pos:R:3 comment="Ho2ErSc3NiTe2 (PBE, relaxed)" space_group="Amm2, No. 38" magmom_total_mub_per_cell=0.63 rho_g_cm3=7.28 total_energy_ev_per_atom=-5.6731 volume_a3_per_atom=23.97 pbc="T T T"
Ho 0.000 -4.197 3.987
Ho 0.000 4.197 3.987
Er 0.000 0.000 3.285
Sc 1.958 0.000 0.285
Sc 1.958 -1.602 5.484
Sc 1.958 1.602 5.484
Ni 0.000 0.000 6.394
Te 1.958 -2.299 2.423
Te 1.958 2.299 2.423

=====

# 2
9
Lattice="3.907 0.000 0.000 0.000 6.900 3.989 0.000 -6.900 3.989" Properties=species:S:1:pos:R:3 comment="HoEr2Sc3NiTe2 (PBE, relaxed)" space_group="Amm2, No. 38" magmom_total_mub_per_cell=0.53 rho_g_cm3=7.32 total_energy_ev_per_atom=-5.6692 volume_a3_per_atom=23.90 pbc="T T T"
Ho 0.000 0.000 0.000
Er 0.000 -2.700 3.283
Er 0.000 2.700 3.283
Sc 1.954 0.000 2.992
Sc 1.954 -1.603 5.772
Sc 1.954 1.603 5.772
Ni 0.000 0.000 4.825
Te 1.954 -4.595 4.846
Te 1.954 4.595 4.846

=====

# 3
11
Lattice="-2.174 3.499 7.079 2.174 -3.499 7.079 2.174 3.499 -7.079" Properties=species:S:1:pos:R:3 comment="Ho2ErNi4Sn4 (PBE, relaxed)" space_group="Immm, No. 71" magmom_total_mub_per_cell=0.02 rho_g_cm3=9.30 total_energy_ev_per_atom=-5.2818 volume_a3_per_atom=19.59 pbc="T T T"
Ho 0.000 0.000 1.876
Ho 0.000 0.000 12.283
Er 0.000 3.499 0.000
Ni 2.174 2.168 -2.496
Ni 2.174 2.168 2.496
Ni 0.000 1.331 4.583
Ni 0.000 1.331 9.576
Sn 2.174 1.421 0.000
Sn 2.174 0.000 4.002
Sn 0.000 3.499 3.077
Sn 0.000 2.078 7.079

=====

# 4
10
Lattice="3.605 0.000 0.000 0.000 3.981 0.000 0.000 0.000 13.808" Properties=species:S:1:pos:R:3 comment="HoErNi2Sn (PBE, relaxed)" space_group="Amm2, No. 38" magmom_total_mub_per_cell=0.00 rho_g_cm3=9.53 total_energy_ev_per_atom=-5.4820 volume_a3_per_atom=19.81 pbc="T T T"
Ho 0.000 0.000 0.000
Ho 0.000 1.990 6.904
Er 0.000 0.000 3.785
Er 0.000 1.990 10.689
Ni 1.803 0.000 6.062
Ni 1.803 0.000 11.530
Ni 1.803 1.990 4.627
Ni 1.803 1.990 12.965
Sn 1.803 0.000 8.796
Sn 1.803 1.990 1.893

=====

# 5
9
Lattice="8.342 0.000 0.000 -4.171 7.224 0.000 0.000 0.000 3.863" Properties=species:S:1:pos:R:3 comment="Ho3Er3NiTe2 (PBE, relaxed)" space_group="P-62m, No. 189" magmom_total_mub_per_cell=0.96 rho_g_cm3=9.35 e_above_lowest_polymorph_ev_per_atom=0.0137 volume_a3_per_atom=25.86 pbc="T T T"
Ho -3.177 5.503 0.000
Ho 0.994 1.722 0.000
Ho 6.354 0.000 0.000
Er -1.676 2.904 1.931
Er 3.353 0.000 1.931
Er 2.495 4.321 1.931
Ni 0.000 0.000 1.931
Te 0.000 4.816 0.000
Te 4.171 2.408 0.000

=====

# 6
9
Lattice="8.342 0.000 0.000 -4.171 7.224 0.000 0.000 0.000 3.865" Properties=species:S:1:pos:R:3 comment="Ho3Er3NiTe2 (PBE, relaxed)" space_group="P-62m, No. 189" magmom_total_mub_per_cell=1.03 rho_g_cm3=9.34 e_above_lowest_polymorph_ev_per_atom=0.0000 volume_a3_per_atom=25.88 pbc="T T T"
Ho -1.676 2.904 0.000
Ho 3.353 0.000 0.000
Ho 2.495 4.321 0.000
Er -3.178 5.504 1.932
Er 0.994 1.721 1.932
Er 6.355 0.000 1.932
Ni 0.000 0.000 0.000
Te 0.000 4.816 1.932
Te 4.171 2.408 1.932

=====

# 7
11
Lattice="-1.917 7.765 4.747 1.917 -7.765 4.747 1.917 7.765 -4.747" Properties=species:S:1:pos:R:3 comment="Ho3Er4Ni2Te2 (PBE, relaxed)" space_group="Imm2, No. 44" magmom_total_mub_per_cell=0.00 rho_g_cm3=9.03 total_energy_ev_per_atom=-5.1725 volume_a3_per_atom=25.70 pbc="T T T"
Ho 0.000 0.000 0.000
Ho 1.917 -2.283 2.194
Ho 1.917 2.283 2.194
Er 1.917 2.868 -1.150
Er 1.917 5.694 0.786
Er 0.000 4.897 3.597
Er 0.000 2.071 5.533
Ni 0.000 3.699 0.675
Ni 0.000 11.831 0.675
Te 0.000 0.000 3.218
Te 0.000 7.765 2.219

=====

# 8
11
Lattice="-1.912 7.730 4.736 1.912 -7.730 4.736 1.912 7.730 -4.736" Properties=species:S:1:pos:R:3 comment="HoEr4Tm2Ni2Te2 (PBE, relaxed)" space_group="Imm2, No. 44" magmom_total_mub_per_cell=0.01 rho_g_cm3=9.16 total_energy_ev_per_atom=-5.1525 volume_a3_per_atom=25.45 pbc="T T T"
Ho 0.000 0.000 0.000
Er 1.912 2.866 -1.144
Er 1.912 5.671 0.786
Er 0.000 4.864 3.592
Er 0.000 2.059 5.522
Tm 1.912 -2.265 2.182
Tm 1.912 2.265 2.182
Ni 0.000 3.672 0.682
Ni 0.000 11.788 0.682
Te 0.000 0.000 3.195
Te 0.000 7.730 2.226

=====

# 9
11
Lattice="-1.920 7.763 4.758 1.920 -7.763 4.758 1.920 7.763 -4.758" Properties=species:S:1:pos:R:3 comment="Y2HoEr2Tm2Ni2Te2 (PBE, relaxed)" space_group="Imm2, No. 44" magmom_total_mub_per_cell=0.01 rho_g_cm3=8.12 total_energy_ev_per_atom=-5.5043 volume_a3_per_atom=25.79 pbc="T T T"
Y 0.000 2.281 0.000
Y 0.000 13.246 0.000
Ho 1.920 0.000 2.211
Er 0.000 5.703 1.421
Er 0.000 9.824 1.421
Tm 1.920 4.894 -1.410
Tm 0.000 2.869 3.347
Ni 1.920 3.712 1.537
Ni 0.000 4.051 6.294
Te 0.000 0.000 4.727
Te 0.000 7.763 3.758

=====

# 10
11
Lattice="-1.923 7.792 4.770 1.923 -7.792 4.770 1.923 7.792 -4.770" Properties=species:S:1:pos:R:3 comment="Y3Ho2Er2Ni2Te2 (PBE, relaxed)" space_group="Imm2, No. 44" magmom_total_mub_per_cell=0.01 rho_g_cm3=7.57 total_energy_ev_per_atom=-5.6980 volume_a3_per_atom=25.98 pbc="T T T"
Y 0.000 0.000 0.000
Y 0.000 5.507 2.554
Y 0.000 10.076 2.554
Ho 1.923 5.734 -0.790
Ho 0.000 2.058 3.980
Er 1.923 2.880 1.135
Er 0.000 4.912 5.905
Ni 1.923 -4.075 4.086
Ni 1.923 4.075 4.086
Te 1.923 0.000 2.513
Te 0.000 0.000 6.330

=====

# 11
9
Lattice="3.904 0.000 0.000 0.000 7.249 4.171 0.000 -7.249 4.171" Properties=species:S:1:pos:R:3 comment="Y2HoEr3NiTe2 (PBE, relaxed)" space_group="Amm2, No. 38" magmom_total_mub_per_cell=1.04 rho_g_cm3=8.15 total_energy_ev_per_atom=-5.4999 volume_a3_per_atom=26.24 pbc="T T T"
Y 0.000 -4.336 4.171
Y 0.000 4.336 4.171
Ho 0.000 0.000 3.320
Er 1.952 0.000 0.309
Er 1.952 -1.714 5.676
Er 1.952 1.714 5.676
Ni 0.000 0.000 6.662
Te 1.952 -2.414 2.498
Te 1.952 2.414 2.498

=====

# 12
9
Lattice="3.854 0.000 0.000 0.000 3.854 0.000 0.000 0.000 9.365" Properties=species:S:1:pos:R:3 comment="Ho2Er2O5 (PBE, relaxed)" space_group="P4/mmm, No. 123" magmom_total_mub_per_cell=1.31 rho_g_cm3=8.89 e_above_lowest_polymorph_ev_per_atom=0.0000 volume_a3_per_atom=15.45 pbc="T T T"
Ho 0.000 0.000 0.000
Ho 0.000 0.000 4.683
Er 1.927 1.927 2.267
Er 1.927 1.927 7.098
O 0.000 1.927 1.358
O 0.000 1.927 8.008
O 1.927 0.000 1.358
O 1.927 0.000 8.008
O 1.927 1.927 4.683

=====

Q: Which formula does entry 4 have?
A: HoErNi2Sn